Record 1
Entry from Alexandria via LeMat-Bulk: a geometry-optimized CeTlMo2O8 structure (PBE with a Hubbard U).

Cell: 5.255 8.351 19.193 Å, 90.00 90.00 90.00°
Last column: magnetic moment on the atom in μB.
Fractional coordinates of all 48 atoms:
Ce: 0.000 0.750 0.007  0.85
Ce: 0.000 0.250 0.993  0.85
Ce: 0.500 0.250 0.493  0.85
Ce: 0.500 0.750 0.507  0.85
Tl: 0.000 0.750 0.770  0.00
Tl: 0.000 0.250 0.230  0.00
Tl: 0.500 0.250 0.730  0.00
Tl: 0.500 0.750 0.270  0.00
Mo: 0.019 0.517 0.399  0.09
Mo: 0.981 0.483 0.601  0.09
Mo: 0.481 0.017 0.101  0.09
Mo: 0.981 0.983 0.399  0.09
Mo: 0.519 0.983 0.899  0.09
Mo: 0.019 0.017 0.601  0.09
Mo: 0.519 0.483 0.101  0.09
Mo: 0.481 0.517 0.899  0.09
O: 0.101 0.976 0.314  -0.01
O: 0.899 0.024 0.686  -0.01
O: 0.399 0.476 0.186  -0.01
O: 0.899 0.524 0.314  -0.01
O: 0.601 0.524 0.814  -0.01
O: 0.101 0.476 0.686  -0.01
O: 0.601 0.024 0.186  -0.01
O: 0.399 0.976 0.814  -0.01
O: 0.276 0.845 0.097  -0.01
O: 0.724 0.155 0.903  -0.01
O: 0.224 0.345 0.403  -0.01
O: 0.724 0.655 0.097  -0.01
O: 0.776 0.655 0.597  -0.01
O: 0.276 0.345 0.903  -0.01
O: 0.776 0.155 0.403  -0.01
O: 0.224 0.845 0.597  -0.01
O: 0.252 0.504 0.038  -0.01
O: 0.748 0.496 0.962  -0.01
O: 0.248 0.004 0.462  -0.01
O: 0.748 0.996 0.038  -0.01
O: 0.752 0.996 0.538  -0.01
O: 0.252 0.004 0.962  -0.01
O: 0.752 0.496 0.462  -0.01
O: 0.248 0.504 0.538  -0.01
O: 0.237 0.687 0.410  -0.01
O: 0.763 0.313 0.590  -0.01
O: 0.263 0.187 0.090  -0.01
O: 0.763 0.813 0.410  -0.01
O: 0.737 0.813 0.910  -0.01
O: 0.237 0.187 0.590  -0.01
O: 0.737 0.313 0.090  -0.01
O: 0.263 0.687 0.910  -0.01

Record 2
Entry from Alexandria via LeMat-Bulk: a geometry-optimized CeTl2Mo3O12 structure (PBE with a Hubbard U).

Cell: 7.732 7.732 7.732 Å, 57.78 57.78 57.78°
Fractional coordinates of all 18 atoms:
Ce: 0.000 0.000 0.000
Tl: 0.667 0.667 0.667
Tl: 0.333 0.333 0.333
Mo: 0.500 0.000 0.000
Mo: 0.000 0.500 0.000
Mo: 0.000 0.000 0.500
O: 0.299 0.299 0.940
O: 0.926 0.926 0.352
O: 0.352 0.926 0.926
O: 0.940 0.299 0.299
O: 0.926 0.352 0.926
O: 0.299 0.940 0.299
O: 0.701 0.701 0.060
O: 0.074 0.074 0.648
O: 0.648 0.074 0.074
O: 0.060 0.701 0.701
O: 0.074 0.648 0.074
O: 0.701 0.060 0.701

Record 3
Entry from Alexandria via LeMat-Bulk: a geometry-optimized CeY2MoO8 structure (PBE with a Hubbard U).

Cell: 5.031 5.028 6.871 Å, 90.00 90.00 91.39°
Fractional coordinates of all 12 atoms:
Ce: 0.000 0.000 0.500
Y: 0.500 0.500 0.757
Y: 0.500 0.500 0.243
Mo: 0.000 0.000 0.000
O: 0.182 0.818 0.214
O: 0.723 0.724 0.000
O: 0.818 0.182 0.214
O: 0.818 0.182 0.786
O: 0.277 0.276 0.000
O: 0.182 0.818 0.786
O: 0.697 0.697 0.500
O: 0.303 0.303 0.500

Record 4
Entry from Alexandria via LeMat-Bulk: a geometry-optimized CeZr2MoO8 structure (PBE with a Hubbard U).

Cell: 4.965 4.963 6.666 Å, 90.49 89.50 89.95°
Last column: magnetic moment on the atom in μB.
Fractional coordinates of all 12 atoms:
Ce: 0.000 0.000 0.500  0.09
Zr: 0.502 0.498 0.756  0.03
Zr: 0.498 0.502 0.244  0.03
Mo: 0.000 0.000 0.000  1.81
O: 0.200 0.799 0.235  0.01
O: 0.701 0.702 0.000  -0.01
O: 0.804 0.197 0.227  -0.01
O: 0.800 0.201 0.765  0.01
O: 0.299 0.298 0.000  -0.01
O: 0.196 0.803 0.773  -0.01
O: 0.682 0.684 0.500  0.00
O: 0.318 0.316 0.500  0.00

| no. | E_tot (eV/atom) | size of the total moment (μB per formula unit) |
| --- | --- | --- |
| 1 | -7.143 | 1.0 |
| 2 | -6.806 | 0.0 |
| 3 | -8.311 | 0.0 |
| 4 | -8.704 | 2.0 |